Record 1
Tb8Ho2Pb | Alexandria via LeMat-Bulk | PBE | optimized geometry; formation energy from the elements = -18 meV per atom; total moment = 0.00 μB/f.u.; energy = -4.555 eV/atom
1.0
8.628 -2.671 0.000
8.628 2.671 0.000
-3.483 0.000 7.508
Tb Ho Pb
8 2 1
direct
0.021 0.021 0.231 Tb
0.162 0.162 0.708 Tb
0.327 0.327 0.590 Tb
0.395 0.395 0.062 Tb
0.605 0.605 0.938 Tb
0.673 0.673 0.410 Tb
0.838 0.838 0.292 Tb
0.979 0.979 0.769 Tb
0.198 0.198 0.147 Ho
0.802 0.802 0.853 Ho
0.500 0.500 0.500 Pb


Record 2
Tb5Ho8Pb | Alexandria via LeMat-Bulk | PBE | optimized geometry; formation energy from the elements = 174 meV per atom; total moment = 0.00 μB/f.u.; energy = -4.360 eV/atom
1.0
-5.093 5.093 4.415
5.093 -5.093 4.415
5.093 5.093 -4.415
Tb Ho Pb
5 8 1
direct
0.000 0.000 0.000 Tb
0.220 0.282 0.779 Tb
0.504 0.441 0.221 Tb
0.559 0.780 0.063 Tb
0.718 0.496 0.937 Tb
0.128 0.529 0.081 Ho
0.415 0.086 0.350 Ho
0.448 0.047 0.919 Ho
0.471 0.552 0.598 Ho
0.736 0.065 0.650 Ho
0.914 0.264 0.329 Ho
0.935 0.585 0.671 Ho
0.953 0.872 0.402 Ho
0.250 0.750 0.500 Pb


Record 3
TbHo3Pb2 | Alexandria via LeMat-Bulk | PBE | optimized geometry; formation energy from the elements = -135 meV per atom; total moment = 0.00 μB/f.u.; energy = -4.431 eV/atom
1.0
-3.664 7.292 3.772
3.664 -7.292 3.772
3.664 7.292 -3.772
Tb Ho Pb
2 6 4
direct
0.000 0.000 0.000 Tb
0.500 0.500 0.000 Tb
0.042 0.250 0.792 Ho
0.250 0.750 0.500 Ho
0.458 0.250 0.208 Ho
0.542 0.750 0.792 Ho
0.750 0.250 0.500 Ho
0.958 0.750 0.208 Ho
0.143 0.677 0.820 Pb
0.357 0.177 0.533 Pb
0.643 0.823 0.467 Pb
0.857 0.323 0.180 Pb


Record 4
Tb7Ho12Pb | Alexandria via LeMat-Bulk | PBE | optimized geometry; formation energy from the elements = 154 meV per atom; total moment = 0.00 μB/f.u.; energy = -4.399 eV/atom
1.0
5.969 3.446 5.176
-5.969 3.446 5.176
0.000 -6.893 5.176
Tb Ho Pb
7 12 1
direct
0.000 0.000 0.000 Tb
0.110 0.428 0.354 Tb
0.354 0.110 0.428 Tb
0.428 0.354 0.110 Tb
0.572 0.646 0.890 Tb
0.646 0.890 0.572 Tb
0.890 0.572 0.646 Tb
0.001 0.114 0.641 Ho
0.114 0.641 0.001 Ho
0.241 0.366 0.756 Ho
0.244 0.759 0.634 Ho
0.359 0.999 0.886 Ho
0.366 0.756 0.241 Ho
0.634 0.244 0.759 Ho
0.641 0.001 0.114 Ho
0.756 0.241 0.366 Ho
0.759 0.634 0.244 Ho
0.886 0.359 0.999 Ho
0.999 0.886 0.359 Ho
0.500 0.500 0.500 Pb


Repeat the fourth record exactly.
Tb7Ho12Pb | Alexandria via LeMat-Bulk | PBE | optimized geometry; formation energy from the elements = 154 meV per atom; total moment = 0.00 μB/f.u.; energy = -4.399 eV/atom
1.0
5.969 3.446 5.176
-5.969 3.446 5.176
0.000 -6.893 5.176
Tb Ho Pb
7 12 1
direct
0.000 0.000 0.000 Tb
0.110 0.428 0.354 Tb
0.354 0.110 0.428 Tb
0.428 0.354 0.110 Tb
0.572 0.646 0.890 Tb
0.646 0.890 0.572 Tb
0.890 0.572 0.646 Tb
0.001 0.114 0.641 Ho
0.114 0.641 0.001 Ho
0.241 0.366 0.756 Ho
0.244 0.759 0.634 Ho
0.359 0.999 0.886 Ho
0.366 0.756 0.241 Ho
0.634 0.244 0.759 Ho
0.641 0.001 0.114 Ho
0.756 0.241 0.366 Ho
0.759 0.634 0.244 Ho
0.886 0.359 0.999 Ho
0.999 0.886 0.359 Ho
0.500 0.500 0.500 Pb